A geometry-optimized SbWI2F structure. Source: Alexandria via LeMat-Bulk, functional GGA+U.

Computed properties:
Calculated total energy (eV/atom): -2.96

a = 5.6040 Å, b = 5.6040 Å, c = 5.5512 Å
α = 90.00°, β = 90.00°, γ = 90.00°
Space group P4/mmm (No. 123)
Asymmetric unit:
Sb: 0.0000 0.0000 0.0000 (multiplicity 1)
W: 0.0000 0.0000 0.5000 (multiplicity 1)
I: 0.0000 0.5000 0.5000 (multiplicity 2)
F: 0.5000 0.5000 0.0000 (multiplicity 1)